Computed, not measured: an optimized crystal structure of P at the PBE-GGA level of DFT.

a = 4.9197 Å, b = 4.9197 Å, c = 2.4813 Å
α = 90.00°, β = 90.00°, γ = 90.00°
Last column: nearest neighbours and their distance in Å.
Space group I4_1/amd (No. 141, origin choice 2)
Symmetry-distinct sites (fractional):
P 0.0000 0.2500 0.3750 x4  6 P 2.48-2.54

Summary:
- Volume: 60.1 Å³ per cell
- Formation enthalpy at 0 K: 430 meV per atom
- Distance to the lowest polymorph of the same formula: 41.4 kJ/mol of atoms
- N(E_F): 1.83 states/eV per cell